No. 1
The following is a DFT calculation (PBEsol) of a geometry-optimized RbSc2CoAg structure.

Cell: 4.7323 4.7323 5.2946 Å, 90.00 90.00 90.00°
Element x y z (fractional)
Sc 0.0000 0.5000 0.0000
Sc 0.5000 0.0000 0.0000
Co 0.0000 0.0000 0.0000
Rb 0.5000 0.5000 0.5000
Ag 0.0000 0.0000 0.5000

Output
Space-group type: P4/mmm (123)
Final energy (eV/atom): -4.81
ΔE_f (eV per atom): 0.2484

=====

No. 2
The following is a DFT calculation (PBEsol) of a geometry-optimized RbTl2CoAg structure.

Cell: 4.9906 4.9906 5.1849 Å, 90.00 90.00 90.00°
Element x y z (fractional)
Tl 0.0000 0.5000 0.0000
Tl 0.5000 0.0000 0.0000
Co 0.0000 0.0000 0.0000
Rb 0.5000 0.5000 0.5000
Ag 0.0000 0.0000 0.5000

Output
Space-group type: P4/mmm (123)
Final energy (eV/atom): -3.24
ΔE_f (eV per atom): 0.2316

=====

No. 3
The following is a DFT calculation (PBEsol) of a geometry-optimized Co2ReAg structure.

Cell: 2.6214 4.4797 4.4797 Å, 105.83 90.00 90.00°
Last column: magnetic moment on the atom in μB.
Element x y z (fractional)
Re 0.5000 0.0000 0.0000  0.04
Co 0.0000 0.5000 0.0000  0.81
Co 0.0000 0.0000 0.5000  0.81
Ag 0.5000 0.5000 0.5000  0.04

Output
Space-group type: Cmmm (65)
Final energy (eV/atom): -7.61
ΔE to the lowest computed polymorph (eV/atom): 0.000
ΔE_f (eV per atom): 0.4218